# Y2Re2Ag, optimized geometry, DFT GGA-PBE
data_Y2Re2Ag
_chemical_formula_sum 'Y4 Re4 Ag2'
_cell_length_a 5.510
_cell_length_b 5.510
_cell_length_c 7.922
_cell_angle_alpha 90.00
_cell_angle_beta 90.00
_cell_angle_gamma 90.00
_space_group_name_H-M_alt 'I 4/m m m'
_space_group_IT_number 139
_space_group_name_Hall '-I 4 2'
loop_
_atom_site_label
_atom_site_type_symbol
_atom_site_fract_x
_atom_site_fract_y
_atom_site_fract_z
Y1 Y 0.000 0.500 0.250
Re1 Re 0.000 0.000 0.148
Ag1 Ag 0.000 0.000 0.500
# - V: 24.053 A^3/atom
# - Formation energy: 0.732 eV/atom
# - Polymorph energy (0 for the lowest one): 2.60 eV/f.u.
# - VASP energy: -7.403 eV per atom